Entry 1:
Compound: Ce2RhBr2
Source: Alexandria via LeMat-Bulk
Functional: PBE
Structure: relaxed

POSCAR file:
```
Ce2RhBr2
1.0
-3.158 1.556 2.048
-3.719 -1.594 -0.474
-0.188 -6.927 9.023
Rh Ce Br
1 2 2
Cartesian
-1.953 -4.261 4.275
-3.960 -5.298 6.018
-3.104 -1.668 4.579
-2.187 -4.968 8.501
-4.878 -1.998 2.096
```

Calculated values
Spin magnetization = 1.80 Bohr magnetons per cell
D(E_F) = 2.461 states/eV per atom
Formation energy from raw total energies = -1245 meV per atom

Entry 2:
Compound: CeSmRhBr
Source: Alexandria via LeMat-Bulk
Functional: PBE
Structure: relaxed

POSCAR file:
```
CeSmRhBr
1.0
-2.279 -2.804 1.784
1.804 -0.805 -3.512
7.263 -0.553 3.858
Rh Sm Br Ce
1 1 1 1
Cartesian
6.647 -1.790 1.986
3.972 -1.899 2.948
1.142 -3.228 1.798
1.927 -1.072 -2.916
```

Calculated values
Spin magnetization = 0.95 Bohr magnetons per cell
D(E_F) = 1.686 states/eV per atom
Formation energy from raw total energies = -1014 meV per atom

Entry 3:
Compound: Ce2RuBr
Source: Alexandria via LeMat-Bulk
Functional: PBE
Structure: relaxed

POSCAR file:
```
Ce2RuBr
1.0
-1.902 -3.247 1.313
1.196 -3.618 -1.168
4.648 -2.660 6.201
Ce Br Ru
2 1 1
Cartesian
3.697 -2.588 5.003
0.723 -2.361 1.256
1.989 -4.764 3.197
4.151 -7.235 6.265
```

Calculated values
Spin magnetization = 1.37 Bohr magnetons per cell
D(E_F) = 2.564 states/eV per atom
Formation energy from raw total energies = -791 meV per atom

Entry 4:
Compound: Ce2RuBr
Source: Alexandria via LeMat-Bulk
Functional: PBE
Structure: relaxed

POSCAR file:
```
Ce2RuBr
1.0
-2.590 1.295 2.799
-3.474 -1.951 0.585
1.389 -4.722 6.366
Ce Ru Br
2 1 1
Cartesian
-1.352 -1.103 2.156
-3.324 -4.275 7.594
0.000 0.000 0.000
-2.338 -2.689 4.875
```

Calculated values
Spin magnetization = 1.32 Bohr magnetons per cell
D(E_F) = 2.590 states/eV per atom
Formation energy from raw total energies = -809 meV per atom

Entry 5:
Compound: Ce2RuBr
Source: Alexandria via LeMat-Bulk
Functional: PBE
Structure: relaxed

POSCAR file:
```
Ce2RuBr
1.0
-1.093 0.636 3.144
-1.679 -2.943 0.012
6.592 -3.748 3.050
Br Ce Ru
1 2 1
Cartesian
1.910 -3.028 3.103
5.166 -2.937 2.390
1.426 -0.811 0.660
-1.386 -1.154 1.578
```

Calculated values
Spin magnetization = 1.91 Bohr magnetons per cell
D(E_F) = 2.407 states/eV per atom
Formation energy from raw total energies = -714 meV per atom

Entry 6:
Compound: Ce2RuBr
Source: Alexandria via LeMat-Bulk
Functional: PBE
Structure: relaxed

POSCAR file:
```
Ce2RuBr
1.0
5.895 -0.001 -0.003
0.001 3.981 0.005
0.001 -0.011 9.179
Ce Br Ru
4 2 2
Cartesian
1.183 0.924 3.838
4.136 2.910 7.325
1.187 0.929 0.094
4.130 2.917 1.890
4.131 0.923 4.680
1.188 2.911 6.483
4.136 0.918 9.035
1.183 2.917 2.128
```

Calculated values
Spin magnetization = 3.30 Bohr magnetons per cell
D(E_F) = 2.629 states/eV per atom
Formation energy from raw total energies = -774 meV per atom

Entry 7:
Compound: CeSmRuBr
Source: Alexandria via LeMat-Bulk
Functional: PBE
Structure: relaxed

POSCAR file:
```
CeSmRuBr
1.0
3.977 0.001 -0.002
-1.987 3.444 0.000
-1.993 -1.152 7.898
Ru Sm Ce Br
1 1 1 1
Cartesian
-1.613 0.894 7.000
0.373 -0.254 5.231
-1.615 3.189 0.432
2.363 0.897 2.887
```

Calculated values
Spin magnetization = 0.32 Bohr magnetons per cell
D(E_F) = 1.057 states/eV per atom
Formation energy from raw total energies = -823 meV per atom

Entry 8:
Compound: TbCeRuBr
Source: Alexandria via LeMat-Bulk
Functional: PBE
Structure: relaxed

POSCAR file:
```
TbCeRuBr
1.0
-0.861 1.879 -3.370
1.079 -3.801 -0.078
-7.297 -2.130 3.002
Tb Ce Br Ru
1 1 1 1
Cartesian
-5.119 -1.037 0.296
0.543 -3.531 -0.226
-3.115 -0.421 -2.194
-6.106 -3.397 1.549
```

Calculated values
Spin magnetization = 0.33 Bohr magnetons per cell
D(E_F) = 1.041 states/eV per atom
Formation energy from raw total energies = -819 meV per atom

Entry 9:
Compound: Ce8Tc3RuBr4
Source: Alexandria via LeMat-Bulk
Functional: PBE
Structure: relaxed

POSCAR file:
```
Ce8Tc3RuBr4
1.0
8.034 0.000 0.000
0.000 8.970 0.649
-4.017 -4.007 5.686
Tc Ce Ru Br
3 8 1 4
Cartesian
-2.009 2.481 3.167
2.009 2.481 3.167
4.017 4.485 0.324
-2.000 2.383 5.928
2.000 2.383 5.928
0.000 0.576 3.243
4.017 0.585 3.239
4.017 4.387 3.091
0.000 4.378 3.095
6.017 2.580 0.406
2.017 2.580 0.406
0.000 4.485 0.324
4.017 0.000 0.000
2.009 -2.003 2.843
0.000 0.000 0.000
-2.009 -2.003 2.843
```

Calculated values
Spin magnetization = 2.94 Bohr magnetons per cell
D(E_F) = 1.874 states/eV per atom
Formation energy from raw total energies = -647 meV per atom

Entry 10:
Compound: CeThRuBr
Source: Alexandria via LeMat-Bulk
Functional: PBE
Structure: relaxed

POSCAR file:
```
CeThRuBr
1.0
4.054 -0.001 0.000
-2.027 3.511 0.000
-2.026 -1.171 7.978
Th Ru Br Ce
1 1 1 1
Cartesian
0.383 -0.258 5.433
-1.643 0.913 6.951
2.410 0.914 2.845
-1.644 3.254 0.483
```

Calculated values
Spin magnetization = 0.81 Bohr magnetons per cell
D(E_F) = 1.814 states/eV per atom
Formation energy from raw total energies = -810 meV per atom

Entry 11:
Compound: CeS2Br2
Source: Alexandria via LeMat-Bulk
Functional: PBE
Structure: relaxed

POSCAR file:
```
CeS2Br2
1.0
6.459 0.161 3.512
1.129 7.335 0.614
0.137 0.080 7.443
Br Ce S
4 2 4
Cartesian
6.382 2.172 7.892
3.953 5.484 6.571
1.343 5.403 3.676
3.772 2.092 4.997
1.624 3.748 6.055
6.102 3.828 5.514
2.184 2.843 1.188
6.853 5.855 3.726
5.404 4.653 2.938
0.735 1.641 0.400
```

Calculated values
Spin magnetization = 0.27 Bohr magnetons per cell
Formation energy from raw total energies = -1370 meV per atom

Entry 12:
Compound: CeSBr3
Source: Alexandria via LeMat-Bulk
Functional: PBE
Structure: relaxed

POSCAR file:
```
CeSBr3
1.0
7.645 -0.149 -0.290
-2.235 7.312 0.290
-3.256 -3.165 5.735
Ce Br S
2 6 2
Cartesian
0.152 -0.115 3.589
2.002 4.112 2.146
2.118 1.912 4.213
5.649 -0.755 1.232
-1.839 1.389 4.955
-3.495 4.752 4.503
3.993 2.609 0.781
0.036 2.086 1.522
-0.311 5.859 2.060
2.465 -1.861 3.675
```

Calculated values
Spin magnetization = 0.09 Bohr magnetons per cell
D(E_F) = 0.440 states/eV per atom
Formation energy from raw total energies = -1418 meV per atom